#P
# CaErTlZn

An optimized crystal structure of CaErTlZn (PBE-GGA, Alexandria).

Cell: 3.678 3.678 7.581 Å, 90.00 90.00 90.00°
Space group P4mm (No. 99)
Unique sites:
Ca 0.000 0.000 0.000
Er 0.000 0.000 0.539
Tl 0.500 0.500 0.276
Zn 0.500 0.500 0.748

Calculated values
- M_tot: 0.11 μB per cell

#Q
# CaErTlZn

An optimized crystal structure of CaErTlZn (PBE-GGA, Alexandria).

Cell: 7.430 7.430 7.430 Å, 90.00 90.00 90.00°
Space group F-43m (No. 216)
Unique sites:
Ca 0.000 0.000 0.000
Er 0.000 0.000 0.500
Tl 0.250 0.250 0.250
Zn 0.250 0.250 0.750

Calculated values
- M_tot: 0.00 μB per cell

Quick look at relative energies in meV/atom: #P 0; #Q 16.